# 1
Below is a relaxed structure of TlNi2Pb, with properties calculated at the PBE level.

## Properties
Total DFT energy (no corrections) ... -16.1 eV/f.u.
Size of the total moment ... 0.00 μB per formula unit
Space-group type ... C2/m
Fermi-level density of states ... 0.68 states/eV per atom
Crystal system ... monoclinic
Formation energy ... 381 meV/atom

Cell and atoms, written as extended XYZ:
```
4
Lattice="3.966 -0.209 0.144 2.482 3.100 0.144 1.472 0.660 6.118" Properties=species:S:1:pos:R:3 pbc="T T T"
Tl 1.980 0.888 1.602
Ni 0.010 0.004 0.015
Ni 3.951 1.771 3.189
Pb 5.940 2.663 4.805
```

=====

# 2
Below is a relaxed structure of ZnOsOF2, with properties calculated at the PBE level.

## Properties
Total DFT energy (no corrections) ... -21.6 eV/f.u.
Size of the total moment ... 3.54 μB per formula unit
Space-group type ... P4/mmm
Fermi-level density of states ... 0.35 states/eV per atom
Crystal system ... tetragonal
Formation energy from raw total energies ... -85 meV per atom

Cell and atoms, written as extended XYZ:
```
5
Lattice="-2.038 1.345 2.635 -2.421 -5.665 1.020 2.610 -0.689 2.370" Properties=species:S:1:pos:R:3 pbc="T T T"
Os -1.211 -2.832 0.510
Zn 0.000 0.000 0.000
O -0.925 -2.504 3.012
F 1.305 -0.344 1.185
F -1.019 0.673 1.317
```

=====

# 3
Below is a relaxed structure of PrSm2ErTm4, with properties calculated at the PBE level.

## Properties
Total DFT energy (no corrections) ... -33.2 eV/f.u.
Size of the total moment ... 1.75 μB per formula unit
Space-group type ... Imma
Fermi-level density of states ... 2.37 states/eV per atom
Crystal system ... orthorhombic
Formation energy ... 429 meV/atom

Cell and atoms, written as extended XYZ:
```
16
Lattice="-2.661 -6.089 -6.754 4.398 -7.160 4.376 -6.210 8.769 4.784" Properties=species:S:1:pos:R:3 pbc="T T T"
Tm -3.974 -1.975 -1.540
Tm -2.651 1.038 1.782
Tm -7.130 2.417 0.771
Tm -4.888 -1.202 2.984
Tm 0.415 -3.279 -0.578
Tm -1.822 -5.519 0.624
Tm 2.658 -6.898 1.635
Tm -0.499 -2.505 3.945
Sm -1.330 -3.044 -3.377
Sm 0.869 -6.625 -1.189
Sm -4.436 1.340 -0.985
Sm -3.105 4.384 2.392
Er -8.871 2.680 -1.970
Er -2.236 -2.240 1.203
Pr -3.567 -5.284 -2.174
Pr 2.199 -3.580 2.188
```

=====

# 4
Below is a relaxed structure of TlZnPb2, with properties calculated at the PBE level.

## Properties
Total DFT energy (no corrections) ... -10.6 eV/f.u.
Size of the total moment ... 0.00 μB per formula unit
Space-group type ... R-3m
Fermi-level density of states ... 0.35 states/eV per atom
Crystal system ... trigonal
Formation energy ... 103 meV/atom

Cell and atoms, written as extended XYZ:
```
4
Lattice="11.397 0.196 0.115 10.834 3.543 0.115 10.834 1.822 3.041" Properties=species:S:1:pos:R:3 pbc="T T T"
Pb 0.269 0.045 0.027
Pb 16.263 2.735 1.609
Tl 8.266 1.390 0.818
Zn 24.798 4.171 2.453
```